# 1
Entry from the Alexandria database: an optimized crystal structure of TaAl3Tl (GGA-PBE).

POSCAR file:
```
TaAl3Tl
1.0
4.995 0.000 0.000
0.000 4.995 0.000
0.000 0.000 4.995
Ta Al Tl
1 3 1
Direct
0.000 0.000 0.000
0.000 0.500 0.500
0.500 0.000 0.500
0.500 0.500 0.000
0.500 0.500 0.500
```

Computed properties:
For the calculated density, the calculation gives 6.21 g cm⁻³. As for the volume: 124.6 Å³/cell. Its space group is Pm-3m, No. 221. The relative energy among the computed polymorphs is 4.67 eV per formula unit. The value obtained for the magnetization is 0.00 μB/f.u. As for the density of states at the Fermi level: 4.750 states/eV/f.u. The calculation puts the formation energy at 37.909 kcal/mol of atoms.

# 2
Entry from the Alexandria database: an optimized crystal structure of Mo3Ir4 (GGA-PBE).

POSCAR file:
```
Mo3Ir4
1.0
5.018 0.000 0.000
-2.509 4.346 0.000
0.000 0.000 4.976
Mo Ir
3 4
Direct
0.000 0.500 0.000
0.500 0.000 0.000
0.500 0.500 0.000
0.000 0.000 0.257
0.000 0.000 0.743
0.333 0.667 0.500
0.667 0.333 0.500
```

Computed properties:
For the calculated density, the calculation gives 16.17 g cm⁻³. As for the volume: 108.5 Å³/cell. Its space group is P6/mmm, No. 191. The relative energy among the computed polymorphs is 0.31 eV per formula unit. The value obtained for the magnetization is 0.40 μB/f.u. As for the density of states at the Fermi level: 7.627 states/eV/f.u. The calculation puts the formation energy at 2.591 kcal/mol of atoms.

# 3
Entry from the Alexandria database: an optimized crystal structure of CdIn2P (GGA-PBE).

POSCAR file:
```
CdIn2P
1.0
0.000 3.627 3.627
3.627 0.000 3.627
3.627 3.627 0.000
Cd In P
1 2 1
Direct
0.000 0.000 0.000
0.250 0.250 0.250
0.750 0.750 0.750
0.500 0.500 0.500
```

Computed properties:
For the calculated density, the calculation gives 6.49 g cm⁻³. As for the volume: 95.4 Å³/cell. Its space group is Fm-3m, No. 225. The relative energy among the computed polymorphs is 0.88 eV per formula unit. The value obtained for the magnetization is 0.00 μB/f.u. As for the density of states at the Fermi level: 1.858 states/eV/f.u. The calculation puts the formation energy at 5.463 kcal/mol of atoms.

# 4
Entry from the Alexandria database: an optimized crystal structure of Rb2SnPdI6 (GGA-PBE).

POSCAR file:
```
Rb2SnPdI6
1.0
8.336 0.000 0.000
0.000 11.812 0.000
0.000 0.000 8.339
Rb Sn Pd I
4 2 2 12
Direct
0.250 0.002 0.249
0.250 0.498 0.249
0.750 0.502 0.751
0.750 0.998 0.751
0.250 0.250 0.750
0.750 0.750 0.250
0.250 0.750 0.750
0.750 0.250 0.250
0.009 0.750 0.990
0.010 0.750 0.509
0.250 0.510 0.750
0.250 0.990 0.750
0.490 0.750 0.509
0.491 0.750 0.990
0.509 0.250 0.010
0.510 0.250 0.491
0.750 0.010 0.250
0.750 0.490 0.250
0.990 0.250 0.491
0.991 0.250 0.010
```

Computed properties:
The energy relative to the elements, uncorrected comes out at -0.769 eV per atom. For the calculated density, the calculation gives 4.68 g cm⁻³. As for the volume: 821.2 Å³/cell. Its space group is Pmmn, No. 59. The value obtained for the magnetization is 0.00 μB/f.u. As for the density of states at the Fermi level: 4.397 states/eV/f.u.

# 5
Entry from the Alexandria database: an optimized crystal structure of Er2Ni4GeP3 (GGA-PBE).

POSCAR file:
```
Er2Ni4GeP3
1.0
3.900 0.000 0.000
0.000 3.900 0.000
0.000 0.000 9.543
Er Ni Ge P
2 4 1 3
Direct
0.000 0.500 0.241
0.500 0.000 0.759
0.000 0.000 0.000
0.000 0.500 0.635
0.500 0.000 0.365
0.500 0.500 0.000
0.000 0.000 0.500
0.000 0.500 0.869
0.500 0.000 0.131
0.500 0.500 0.500
```

Computed properties:
For the calculated density, the calculation gives 8.41 g cm⁻³. As for the volume: 145.2 Å³/cell. Its space group is P-4m2, No. 115. The value obtained for the magnetization is 0.00 μB/f.u. As for the density of states at the Fermi level: 4.935 states/eV/f.u. The calculation puts the formation energy at -21.120 kcal/mol of atoms.

# 6
Entry from the Alexandria database: an optimized crystal structure of AlGa2Pd2 (GGA-PBE).

POSCAR file:
```
AlGa2Pd2
1.0
7.565 0.000 0.000
0.000 7.565 0.000
0.000 0.000 2.807
Al Ga Pd
2 4 4
Direct
0.000 0.000 0.000
0.500 0.500 0.000
0.123 0.377 0.000
0.377 0.877 0.000
0.623 0.123 0.000
0.877 0.623 0.000
0.177 0.677 0.500
0.323 0.177 0.500
0.677 0.823 0.500
0.823 0.323 0.500
```

Computed properties:
For the calculated density, the calculation gives 7.84 g cm⁻³. As for the volume: 160.7 Å³/cell. Its space group is P4/mbm, No. 127. The relative energy among the computed polymorphs is 1.23 eV per formula unit. The value obtained for the magnetization is 0.00 μB/f.u. As for the density of states at the Fermi level: 1.477 states/eV/f.u. The calculation puts the formation energy at -8.562 kcal/mol of atoms.

# 7
Entry from the Alexandria database: an optimized crystal structure of Ba2LaIn3Hg12 (GGA-PBE).

POSCAR file:
```
Ba2LaIn3Hg12
1.0
3.549 2.049 13.046
-3.549 2.049 13.046
0.000 -4.098 13.046
Ba La In Hg
2 1 3 12
Direct
0.137 0.137 0.137
0.863 0.863 0.863
0.500 0.500 0.500
0.000 0.500 0.500
0.500 0.000 0.500
0.500 0.500 0.000
0.088 0.620 0.620
0.093 0.093 0.656
0.093 0.656 0.093
0.344 0.907 0.907
0.380 0.380 0.912
0.380 0.912 0.380
0.620 0.088 0.620
0.620 0.620 0.088
0.656 0.093 0.093
0.907 0.344 0.907
0.907 0.907 0.344
0.912 0.380 0.380
```

Computed properties:
For the calculated density, the calculation gives 9.23 g cm⁻³. As for the volume: 569.2 Å³/cell. Its space group is R-3m, No. 166. The value obtained for the magnetization is 0.00 μB/f.u. As for the density of states at the Fermi level: 12.241 states/eV/f.u. The calculation puts the formation energy at -3.685 kcal/mol of atoms.

# 8
Entry from the Alexandria database: an optimized crystal structure of Cs2LiCdBr5 (GGA-PBE).

POSCAR file:
```
Cs2LiCdBr5
1.0
2.232 -10.534 0.000
2.232 10.534 0.000
0.000 0.000 14.544
Cs Li Cd Br
4 2 2 10
Direct
0.120 0.880 0.500
0.127 0.873 0.114
0.873 0.127 0.614
0.880 0.120 0.000
0.421 0.579 0.247
0.579 0.421 0.747
0.210 0.790 0.824
0.790 0.210 0.324
0.078 0.922 0.836
0.289 0.711 0.452
0.305 0.695 0.189
0.337 0.663 0.808
0.492 0.508 0.110
0.508 0.492 0.610
0.663 0.337 0.308
0.695 0.305 0.689
0.711 0.289 0.952
0.922 0.078 0.336
```

Computed properties:
The energy relative to the elements, uncorrected comes out at -1.429 eV per atom. For the calculated density, the calculation gives 3.81 g cm⁻³. As for the volume: 684.1 Å³/cell. Its space group is Cmc2_1, No. 36. The value obtained for the magnetization is 0.11 μB/f.u. As for the density of states at the Fermi level: 0.000 states/eV/f.u.

Which formula does entry 6 have?
AlGa2Pd2